Entry 1:
A relaxed structure of Pm3Ge2Rh, computed with PBE.

Values from the calculation:
E_form ... -0.854 eV per atom
Energy above the most stable polymorph in this dataset ... 0.000 eV per atom
V ... 596 Å³/cell

Lattice parameters (Å, degrees): 4.311 11.511 12.011 90.00 90.00 90.00
Element x y z (fractional)
Rh 0.750 0.630 0.369
Ge 0.750 0.312 0.513
Ge 0.250 0.812 0.987
Rh 0.250 0.370 0.631
Pm 0.250 0.129 0.553
Pm 0.250 0.371 0.053
Pm 0.750 0.871 0.447
Ge 0.250 0.501 0.810
Rh 0.250 0.130 0.131
Pm 0.750 0.629 0.947
Ge 0.750 0.499 0.190
Ge 0.750 0.001 0.690
Pm 0.750 0.946 0.121
Ge 0.750 0.188 0.013
Pm 0.750 0.300 0.776
Ge 0.250 0.999 0.310
Pm 0.250 0.054 0.879
Pm 0.250 0.700 0.224
Pm 0.250 0.800 0.724
Pm 0.250 0.446 0.379
Ge 0.250 0.688 0.487
Rh 0.750 0.870 0.869
Pm 0.750 0.554 0.621
Pm 0.750 0.200 0.276

---

Entry 2:
A relaxed structure of Mn3PdSe, computed with PBE.

Values from the calculation:
E_form (uncorrected) ... 0.70 eV/atom
Energy above the most stable polymorph in this dataset ... 0.000 eV per atom
V ... 113 Å³/cell

Lattice parameters (Å, degrees): 4.830 4.830 4.830 90.00 90.00 90.00
Each line ends with the local moment (μB).
Element x y z (fractional)
Se 0.500 0.500 0.500  -0.03
Mn 0.000 0.500 0.000  4.02
Mn 0.000 0.000 0.500  4.19
Pd 0.000 0.000 0.000  0.31
Mn 0.500 0.000 0.000  3.93

---

Entry 3:
A relaxed structure of Y2Mg2Co, computed with PBE.

Values from the calculation:
E_form ... -0.080 eV per atom
Energy above the most stable polymorph in this dataset ... 0.000 eV per atom
V ... 239 Å³/cell

Lattice parameters (Å, degrees): 6.435 7.923 7.923 109.91 116.52 116.52
Element x y z (fractional)
Mg 0.641 0.890 0.040
Y 0.682 0.675 0.349
Y 0.318 0.325 0.651
Co 0.750 0.749 0.751
Y 0.182 0.849 0.174
Mg 0.359 0.110 0.960
Y 0.818 0.151 0.826
Mg 0.142 0.540 0.390
Mg 0.858 0.460 0.610
Co 0.250 0.251 0.249

---

Entry 4:
A relaxed structure of BeSi2Hg, computed with PBE.

Values from the calculation:
E_form (uncorrected) ... 0.53 eV/atom
Energy above the most stable polymorph in this dataset ... 0.091 eV per atom
V ... 70 Å³/cell

Lattice parameters (Å, degrees): 10.570 10.570 10.570 15.11 15.11 15.11
Element x y z (fractional)
Si 0.523 0.523 0.523
Be 0.250 0.250 0.250
Si 0.977 0.977 0.977
Hg 0.750 0.750 0.750

---

Entry 5:
A relaxed structure of TlZn2Cl, computed with PBE.

Values from the calculation:
E_form (uncorrected) ... -0.19 eV/atom
Energy above the most stable polymorph in this dataset ... 0.048 eV per atom
V ... 95 Å³/cell

Lattice parameters (Å, degrees): 9.789 9.789 9.789 19.93 19.93 19.93
Element x y z (fractional)
Zn 0.984 0.984 0.984
Tl 0.736 0.736 0.736
Zn 0.250 0.250 0.250
Cl 0.530 0.530 0.530

---

Entry 6:
A relaxed structure of Er2HfSi2Rh5, computed with PBE.

Values from the calculation:
E_form (uncorrected) ... -1.04 eV/atom
V ... 336 Å³/cell

Lattice parameters (Å, degrees): 3.553 9.719 9.719 90.00 90.00 90.00
Element x y z (fractional)
Rh 0.500 0.930 0.214
Er 0.000 0.674 0.174
Si 0.000 0.622 0.878
Er 0.000 0.326 0.826
Rh 0.500 0.286 0.570
Hf 0.000 0.000 0.000
Rh 0.500 0.430 0.286
Si 0.000 0.122 0.622
Hf 0.000 0.500 0.500
Rh 0.500 0.570 0.714
Rh 0.500 0.214 0.070
Er 0.000 0.174 0.326
Rh 0.500 0.714 0.430
Rh 0.500 0.070 0.786
Er 0.000 0.826 0.674
Rh 0.500 0.786 0.930
Rh 0.500 0.500 0.000
Si 0.000 0.378 0.122
Rh 0.500 0.000 0.500
Si 0.000 0.878 0.378

---

Entry 7:
A relaxed structure of OsWIBr2, computed with PBE.

Values from the calculation:
E_form (uncorrected) ... 1.66 eV/atom
V ... 137 Å³/cell

Lattice parameters (Å, degrees): 4.982 5.534 4.982 90.00 90.00 90.00
Each line ends with the local moment (μB).
Element x y z (fractional)
Br 0.500 0.000 0.000  -0.09
Br 0.000 0.000 0.500  0.01
I 0.000 0.500 0.000  -0.06
W 0.500 0.500 0.500  3.47
Os 0.000 0.000 0.000  -0.83

---

Entry 8:
A relaxed structure of LaInSi2, computed with PBE.

Values from the calculation:
E_form (uncorrected) ... -0.22 eV/atom
V ... 102 Å³/cell

Lattice parameters (Å, degrees): 4.228 4.139 5.816 89.96 90.00 90.00
Element x y z (fractional)
Si 0.000 0.249 0.948
In 0.500 0.250 0.250
La 0.500 0.750 0.750
Si 0.000 0.251 0.552

---

Entry 9:
A relaxed structure of Ho3Se4O12F, computed with PBE.

Values from the calculation:
E_form (uncorrected) ... -2.04 eV/atom
V ... 647 Å³/cell

Lattice parameters (Å, degrees): 10.451 10.451 6.840 90.00 90.00 120.00
Element x y z (fractional)
O 0.419 0.839 0.883
O 0.581 0.419 0.383
Ho 0.924 0.462 0.703
O 0.583 0.663 0.506
O 0.839 0.419 0.383
O 0.184 0.816 0.194
Se 0.845 0.155 0.935
Se 0.311 0.155 0.935
O 0.417 0.337 0.006
Se 0.155 0.845 0.435
Se 0.667 0.333 0.269
Se 0.845 0.689 0.935
O 0.663 0.080 0.006
O 0.080 0.663 0.506
O 0.633 0.816 0.194
Ho 0.462 0.924 0.203
O 0.161 0.581 0.883
O 0.080 0.417 0.506
O 0.337 0.417 0.506
O 0.663 0.583 0.006
O 0.816 0.633 0.694
O 0.367 0.184 0.694
Ho 0.076 0.538 0.203
Se 0.155 0.311 0.435
O 0.581 0.161 0.383
Se 0.689 0.845 0.435
O 0.583 0.920 0.506
O 0.816 0.184 0.694
F 0.667 0.333 0.750
F 0.333 0.667 0.250
O 0.184 0.367 0.194
O 0.920 0.583 0.006
Ho 0.538 0.076 0.703
O 0.419 0.581 0.883
Se 0.333 0.667 0.769
O 0.920 0.337 0.006
Ho 0.538 0.462 0.703
O 0.417 0.080 0.006
O 0.337 0.920 0.506
Ho 0.462 0.538 0.203

---

Entry 10:
A relaxed structure of La2TcHg, computed with PBE.

Values from the calculation:
E_form ... -0.161 eV per atom
V ... 106 Å³/cell

Lattice parameters (Å, degrees): 3.601 3.601 8.140 90.00 90.00 89.93
Element x y z (fractional)
La 0.000 0.000 0.038
La 0.000 0.000 0.462
Hg 0.500 0.500 0.750
Tc 0.500 0.500 0.250

---

Entry 11:
A relaxed structure of NbGaP2Cl, computed with PBE.

Values from the calculation:
E_form (uncorrected) ... -0.02 eV/atom
Energy above the most stable polymorph in this dataset ... 0.000 eV per atom
V ... 119 Å³/cell

Lattice parameters (Å, degrees): 4.832 4.832 5.102 90.00 90.00 90.00
Element x y z (fractional)
P 0.500 0.000 0.000
Nb 0.000 0.000 0.000
Ga 0.500 0.500 0.500
P 0.000 0.500 0.000
Cl 0.000 0.000 0.500

---

Entry 12:
A relaxed structure of CuRe2Au, computed with PBE.

Values from the calculation:
E_form ... 0.323 eV per atom
Energy above the most stable polymorph in this dataset ... 0.147 eV per atom
V ... 62 Å³/cell

Lattice parameters (Å, degrees): 2.715 2.715 9.248 90.00 90.00 115.16
Element x y z (fractional)
Re 0.500 0.500 0.234
Cu 0.500 0.500 0.757
Au 0.000 0.000 0.511
Re 0.000 0.000 0.998